Here is an optimized crystal structure of CrBrO from Alexandria via LeMat-Bulk. Energies are from PBE+U.

The structure in extended XYZ format:
```
12
Lattice="3.926 0.000 0.000 -1.963 7.715 0.003 0.000 -2.336 7.512" Properties=species:S:1:pos:R:3 pbc="T T T"
O 0.000 2.417 4.622
Cr 1.963 4.953 2.504
O 1.963 0.751 5.036
Br 1.963 5.386 4.995
Br 1.963 3.110 7.473
Cr 0.000 0.426 5.011
O 1.963 2.963 2.893
Cr 0.000 2.707 2.569
O 0.000 4.628 2.479
Br 0.000 2.270 0.042
Cr 1.963 2.673 4.946
Br 0.000 -0.006 2.520
```

Properties
Crystal system: monoclinic
Total magnetic moment in μB/atom: 1.000
Uncorrected energy in eV/atom: -5.95
Calculated volume in Å³/f.u.: 57